# MoRh3

Crystalline MoRh3 at its relaxed geometry (PBE, Alexandria).

The structure in POSCAR format:
```
MoRh3
1.0
-1.200 1.528 1.965
-0.023 -2.757 0.187
7.602 0.239 4.459
Mo Rh
1 3
Direct
0.000 0.000 0.000 Mo
0.000 0.000 0.500 Rh
0.333 0.667 0.245 Rh
0.333 0.667 0.755 Rh
```

space group	No. 187
Fermi-level density of states	4.65	states/eV/f.u.
E	-8.32	eV/atom

# Mo2Rh

Crystalline Mo2Rh at its relaxed geometry (PBE, Alexandria).

The structure in POSCAR format:
```
Mo2Rh
1.0
-2.117 -3.545 2.844
1.619 -1.207 -4.589
4.147 1.365 2.513
Mo Rh
4 2
Direct
0.858 0.358 0.216 Mo
0.142 0.642 0.784 Mo
0.643 0.857 0.500 Mo
0.357 0.143 0.500 Mo
0.750 0.750 0.000 Rh
0.250 0.250 0.000 Rh
```

space group	No. 69
Fermi-level density of states	3.15	states/eV/f.u.
E	-9.58	eV/atom

Number 1: E_form -100 meV/atom, mass density 11.53 Mg/m³. Number 2: E_form 93 meV/atom, mass density 10.24 Mg/m³.